1.
This record from OQMD describes HoAgPbSe3 after structural relaxation. The functional is PBE. Values from VASP.

Quantum ESPRESSO input file:
```
&SYSTEM
  ibrav = 0, nat = 12, ntyp = 4
/
ATOMIC_SPECIES
Ho 164.93 Ho.upf
Ag 107.87 Ag.upf
Pb 207.20 Pb.upf
Se 78.96 Se.upf
ATOMIC_POSITIONS angstrom
Ho 1.0888 1.0308 1.5372
Ho 3.9547 3.0923 8.1367
Ag 2.0860 3.0923 3.9274
Ag 2.9575 1.0308 5.7464
Pb -0.0872 3.0923 6.7816
Pb 5.1307 1.0308 2.8923
Se -1.8565 1.0308 8.3561
Se 0.3620 1.0308 4.3913
Se 3.0652 3.0923 1.4930
Se 1.9783 1.0308 8.1809
Se 4.6815 3.0923 5.2825
Se 6.9000 3.0923 1.3177
CELL_PARAMETERS angstrom
7.8189 0.0000 0.0000
0.0000 4.1230 0.0000
-2.7754 0.0000 9.6738
```

Computed properties:
**Volume**: 311.9 Å³/cell
**Symmetry**: No. 11
**ρ**: 7.6 Mg/m³
**Energy**: -27.39 eV/f.u.

2.
This record from OQMD describes HoAgPbSe3 after structural relaxation. The functional is PBE. Values from VASP.

Quantum ESPRESSO input file:
```
&SYSTEM
  ibrav = 0, nat = 12, ntyp = 4
/
ATOMIC_SPECIES
Ho 164.93 Ho.upf
Ag 107.87 Ag.upf
Pb 207.20 Pb.upf
Se 78.96 Se.upf
ATOMIC_POSITIONS angstrom
Ho 0.0000 0.0000 0.0000
Ho 0.0000 0.0000 5.3061
Ag 2.0523 0.4662 7.9592
Ag 2.0523 -0.4662 2.6531
Pb 2.0523 3.5868 2.6531
Pb 2.0523 -3.5868 7.9592
Se 2.0523 5.6781 7.9592
Se 2.0523 1.9813 5.8320
Se 2.0523 1.9813 10.0863
Se 2.0523 -1.9813 0.5259
Se 2.0523 -1.9813 4.7802
Se 2.0523 -5.6781 2.6531
CELL_PARAMETERS angstrom
2.0523 -6.9228 0.0000
2.0523 6.9228 0.0000
0.0000 0.0000 10.6122
```

Computed properties:
**Volume**: 301.5 Å³/cell
**Symmetry**: No. 63
**ρ**: 7.9 Mg/m³
**Energy**: -27.32 eV/f.u.

3.
This record from OQMD describes HoAgPbSe3 after structural relaxation. The functional is PBE. Values from VASP.

Quantum ESPRESSO input file:
```
&SYSTEM
  ibrav = 0, nat = 24, ntyp = 4
/
ATOMIC_SPECIES
Ho 164.93 Ho.upf
Ag 107.87 Ag.upf
Pb 207.20 Pb.upf
Se 78.96 Se.upf
ATOMIC_POSITIONS angstrom
Ho 0.2684 1.0601 2.1926
Ho 5.7122 3.1802 8.3041
Ho 6.2490 1.0601 3.9189
Ho 11.6928 3.1802 10.0303
Ag 2.9221 3.1802 3.7252
Ag 3.0585 1.0601 9.8367
Ag 8.9027 3.1802 2.3862
Ag 9.0391 1.0601 8.4977
Pb 2.1028 1.0601 6.1335
Pb 3.8778 3.1802 0.0221
Pb 8.0834 1.0601 12.2009
Pb 9.8584 3.1802 6.0894
Se 0.3291 3.1802 4.2989
Se 1.0170 1.0601 11.4197
Se 2.8705 3.1802 8.1742
Se 3.1102 1.0601 2.0628
Se 4.9636 3.1802 5.3082
Se 5.6515 1.0601 10.4104
Se 6.3097 3.1802 1.8126
Se 6.9976 1.0601 6.9147
Se 8.8511 3.1802 10.1602
Se 9.0908 1.0601 4.0487
Se 10.9442 3.1802 0.8032
Se 11.6321 1.0601 7.9240
CELL_PARAMETERS angstrom
11.9612 0.0000 0.0000
0.0000 4.2403 0.0000
0.0000 0.0000 12.2230
```

Computed properties:
**Volume**: 619.9 Å³/cell
**Symmetry**: No. 62
**ρ**: 7.7 Mg/m³
**Energy**: -27.06 eV/f.u.

4.
This record from OQMD describes HoAgPbSe3 after structural relaxation. The functional is PBE. Values from VASP.

Quantum ESPRESSO input file:
```
&SYSTEM
  ibrav = 0, nat = 24, ntyp = 4
/
ATOMIC_SPECIES
Ho 164.93 Ho.upf
Ag 107.87 Ag.upf
Pb 207.20 Pb.upf
Se 78.96 Se.upf
ATOMIC_POSITIONS angstrom
Ho 2.0833 1.0695 0.5311
Ho 2.1457 3.2086 8.8474
Ho 6.3123 1.0695 7.7852
Ho 6.3747 3.2086 16.1015
Ag 1.0786 3.2086 14.2925
Ag 3.1504 1.0695 5.9762
Ag 5.3077 3.2086 10.6564
Ag 7.3794 1.0695 2.3401
Pb 0.6287 3.2086 4.6260
Pb 3.6004 1.0695 12.9423
Pb 4.8577 3.2086 3.6903
Pb 7.8294 1.0695 12.0066
Se 0.2415 3.2086 1.4477
Se 0.9441 1.0695 7.3937
Se 1.5874 3.2086 11.6958
Se 2.6416 1.0695 3.3795
Se 3.2849 3.2086 15.7099
Se 3.9875 1.0695 9.7640
Se 4.4705 3.2086 6.8686
Se 5.1731 1.0695 0.9226
Se 5.8165 3.2086 13.2531
Se 6.8706 1.0695 4.9368
Se 7.5139 3.2086 9.2389
Se 8.2165 1.0695 15.1849
CELL_PARAMETERS angstrom
8.4580 0.0000 0.0000
0.0000 4.2782 0.0000
0.0000 0.0000 16.6326
```

Computed properties:
**Volume**: 601.8 Å³/cell
**Symmetry**: No. 62
**ρ**: 7.9 Mg/m³
**Energy**: -27.09 eV/f.u.

5.
This record from OQMD describes HoAgPbSe3 after structural relaxation. The functional is PBE. Values from VASP.

Quantum ESPRESSO input file:
```
&SYSTEM
  ibrav = 0, nat = 24, ntyp = 4
/
ATOMIC_SPECIES
Ho 164.93 Ho.upf
Ag 107.87 Ag.upf
Pb 207.20 Pb.upf
Se 78.96 Se.upf
ATOMIC_POSITIONS angstrom
Ho 0.2114 1.0334 1.8685
Ho 6.6702 3.1003 7.3352
Ho 7.0930 1.0334 3.5982
Ho 13.5517 3.1003 9.0648
Ag 0.1219 3.1003 4.4789
Ag 6.7597 1.0334 9.9455
Ag 7.0035 3.1003 0.9878
Ag 13.6413 1.0334 6.4545
Pb 3.1125 1.0334 5.0059
Pb 3.7691 3.1003 10.4726
Pb 9.9941 1.0334 0.4607
Pb 10.6507 3.1003 5.9274
Se 1.4534 1.0334 10.2301
Se 1.6346 3.1003 6.8577
Se 2.0513 3.1003 2.6576
Se 4.8303 1.0334 8.1242
Se 5.2470 1.0334 1.3910
Se 5.4282 3.1003 4.7634
Se 8.3350 1.0334 6.1700
Se 8.5162 3.1003 9.5423
Se 8.9329 3.1003 2.8091
Se 11.7119 1.0334 8.2758
Se 12.1286 1.0334 4.0757
Se 12.3098 3.1003 0.7033
CELL_PARAMETERS angstrom
13.7632 0.0000 0.0000
0.0000 4.1338 0.0000
0.0000 0.0000 10.9333
```

Computed properties:
**Volume**: 622.0 Å³/cell
**Symmetry**: No. 62
**ρ**: 7.7 Mg/m³
**Energy**: -27.41 eV/f.u.

6.
This record from OQMD describes Ho2Ag2SnPb after structural relaxation. The functional is PBE. Values from VASP.

Quantum ESPRESSO input file:
```
&SYSTEM
  ibrav = 0, nat = 6, ntyp = 4
/
ATOMIC_SPECIES
Ho 164.93 Ho.upf
Ag 107.87 Ag.upf
Sn 118.71 Sn.upf
Pb 207.20 Pb.upf
ATOMIC_POSITIONS angstrom
Ho 0.0000 0.0000 0.0000
Ho 0.0000 0.0000 3.6656
Ag 0.0000 2.7501 2.2516
Ag 2.3816 1.3750 6.0826
Sn 2.3816 1.3750 1.6271
Pb 0.0000 2.7501 5.3081
CELL_PARAMETERS angstrom
4.7632 0.0000 0.0000
-2.3816 4.1251 0.0000
0.0000 0.0000 7.4045
```

Computed properties:
**Volume**: 145.5 Å³/cell
**Symmetry**: No. 156
**ρ**: 9.9 Mg/m³
**Energy**: -25.45 eV/f.u.

7.
This record from OQMD describes TbHoAg2Pb2 after structural relaxation. The functional is PBE. Values from VASP.

Quantum ESPRESSO input file:
```
&SYSTEM
  ibrav = 0, nat = 6, ntyp = 4
/
ATOMIC_SPECIES
Tb 158.93 Tb.upf
Ho 164.93 Ho.upf
Ag 107.87 Ag.upf
Pb 207.20 Pb.upf
ATOMIC_POSITIONS angstrom
Tb 0.0000 0.0000 0.0000
Ho 0.0000 0.0000 3.7264
Ag 0.0000 2.7776 1.3906
Ag 2.4055 1.3888 5.0899
Pb 0.0000 2.7776 5.7951
Pb 2.4055 1.3888 2.0890
CELL_PARAMETERS angstrom
4.8109 0.0000 0.0000
-2.4055 4.1664 0.0000
0.0000 0.0000 7.4436
```

Computed properties:
**Volume**: 149.2 Å³/cell
**Symmetry**: No. 156
**ρ**: 10.6 Mg/m³
**Energy**: -24.71 eV/f.u.

8.
This record from OQMD describes HoAgTe3Pb after structural relaxation. The functional is PBE. Values from VASP.

Quantum ESPRESSO input file:
```
&SYSTEM
  ibrav = 0, nat = 24, ntyp = 4
/
ATOMIC_SPECIES
Ho 164.93 Ho.upf
Ag 107.87 Ag.upf
Te 127.60 Te.upf
Pb 207.20 Pb.upf
ATOMIC_POSITIONS angstrom
Ho 0.3180 1.1268 2.3991
Ho 5.9417 3.3803 8.7809
Ho 6.5776 1.1268 3.9827
Ho 12.2014 3.3803 10.3645
Ag 2.9728 3.3803 3.8120
Ag 3.2869 1.1268 10.1938
Ag 9.2325 3.3803 2.5698
Ag 9.5466 1.1268 8.9516
Te 0.3188 3.3803 4.6258
Te 1.1283 1.1268 11.9581
Te 2.8190 3.3803 8.5736
Te 3.4407 1.1268 2.1918
Te 5.1313 3.3803 5.5763
Te 5.9408 1.1268 11.0076
Te 6.5785 3.3803 1.7560
Te 7.3880 1.1268 7.1873
Te 9.0787 3.3803 10.5718
Te 9.7004 1.1268 4.1900
Te 11.3910 3.3803 0.8055
Te 12.2005 1.1268 8.1378
Pb 2.3784 1.1268 6.1735
Pb 3.8813 3.3803 12.5553
Pb 8.6380 1.1268 0.2083
Pb 10.1410 3.3803 6.5901
CELL_PARAMETERS angstrom
12.5193 0.0000 0.0000
0.0000 4.5070 0.0000
0.0000 0.0000 12.7636
```

Computed properties:
**Volume**: 720.2 Å³/cell
**Symmetry**: No. 62
**ρ**: 8.0 Mg/m³
**Energy**: -24.46 eV/f.u.